[1]
# PBE-GGA Ac3Ho, relaxed
# * final energy: -15.945 eV per cell
# * formation energy: 0.239 eV/atom
# * magnetization: 0.00 μB/atom
data_Ac3Ho
_chemical_formula_sum 'Ac3 Ho1'
_cell_length_a 3.7742
_cell_length_b 3.7815
_cell_length_c 12.0479
_cell_angle_alpha 90.00
_cell_angle_beta 90.00
_cell_angle_gamma 90.00
_symmetry_space_group_name_H-M 'P m m 2'
_symmetry_Int_Tables_number 25
loop_
_symmetry_equiv_pos_as_xyz
'x,y,z'
'-x,-y,z'
'-x,y,z'
'x,-y,z'
loop_
_atom_site_label
_atom_site_fract_x
_atom_site_fract_y
_atom_site_fract_z
Ac1 0.0000 0.0000 0.0000
Ac2 0.0000 0.5000 0.2847
Ac3 0.5000 0.5000 0.7577
Ho1 0.5000 0.0000 0.4993

[2]
# PBE-GGA Ac3Ho, relaxed
# * final energy: -16.753 eV per cell
# * formation energy: 0.037 eV/atom
# * magnetization: 0.00 μB/atom
data_Ac3Ho
_chemical_formula_sum 'Ac3 Ho1'
_cell_length_a 5.4757
_cell_length_b 5.4757
_cell_length_c 5.4757
_cell_angle_alpha 90.00
_cell_angle_beta 90.00
_cell_angle_gamma 90.00
_symmetry_space_group_name_H-M 'P m -3 m'
_symmetry_Int_Tables_number 221
_symmetry_space_group_name_Hall '-P 4 2 3'
loop_
_atom_site_label
_atom_site_fract_x
_atom_site_fract_y
_atom_site_fract_z
Ac1 0.0000 0.0000 0.5000
Ho1 0.5000 0.5000 0.5000